{
  "formula": "Tl3BiSe",
  "functional": "PBE",
  "state": "relaxed",
  "sg": "No. 221",
  "e_above_lowest_polymorph_mev_per_atom": 0,
  "energy_ev_per_atom": -2.67,
  "e_form_raw_ev_per_atom": 0.225,
  "vol_a3_per_atom": 37.89,
  "lattice": [[5.743, 0.000, 0.000], [0.000, 5.743, 0.000], [0.000, 0.000, 5.743]],
  "species": ["Tl", "Tl", "Tl", "Bi", "Se"],
  "fractional_positions": [[0.000, 0.000, 0.500], [0.000, 0.500, 0.000], [0.500, 0.000, 0.000], [0.500, 0.500, 0.500], [0.000, 0.000, 0.000]]
}

=====

{
  "formula": "BePPd4",
  "functional": "PBE",
  "state": "relaxed",
  "sg": "No. 14",
  "e_above_lowest_polymorph_mev_per_atom": 124,
  "energy_ev_per_atom": -5.35,
  "vol_a3_per_atom": 14.78,
  "formation_energy_ev_per_atom": -0.362,
  "lattice": [[7.257, 0.000, 0.000], [0.000, 3.817, 0.000], [-3.715, 0.000, 6.404]],
  "species": ["Be", "Be", "P", "P", "Pd", "Pd", "Pd", "Pd", "Pd", "Pd", "Pd", "Pd"],
  "fractional_positions": [[0.000, 0.000, 0.000], [0.000, 0.500, 0.500], [0.500, 0.000, 0.000], [0.500, 0.500, 0.500], [0.163, 0.249, 0.833], [0.163, 0.251, 0.333], [0.328, 0.742, 0.162], [0.328, 0.758, 0.662], [0.672, 0.242, 0.338], [0.672, 0.258, 0.838], [0.837, 0.749, 0.667], [0.837, 0.751, 0.167]]
}

=====

{
  "formula": "FeCu3Re",
  "functional": "PBE",
  "state": "relaxed",
  "sg": "No. 221",
  "e_above_lowest_polymorph_mev_per_atom": 0,
  "energy_ev_per_atom": -4.87,
  "vol_a3_per_atom": 15.41,
  "formation_energy_ev_per_atom": 1.772,
  "lattice": [[4.255, 0.000, 0.000], [0.000, 4.255, 0.000], [0.000, 0.000, 4.255]],
  "species": ["Fe", "Cu", "Cu", "Cu", "Re"],
  "fractional_positions": [[0.000, 0.000, 0.000], [0.000, 0.000, 0.500], [0.000, 0.500, 0.000], [0.500, 0.000, 0.000], [0.500, 0.500, 0.500]]
}

=====

{
  "formula": "LiCe2NdAs4",
  "functional": "PBE",
  "state": "relaxed",
  "sg": "No. 10",
  "energy_ev_per_atom": -5.78,
  "vol_a3_per_atom": 26.15,
  "formation_energy_ev_per_atom": -1.137,
  "lattice": [[7.182, 0.000, 0.000], [0.000, 4.244, 0.000], [-2.441, 0.000, 6.864]],
  "species": ["Li", "Ce", "Ce", "Nd", "As", "As", "As", "As"],
  "fractional_positions": [[0.000, 0.000, 0.000], [0.500, 0.000, 0.500], [0.500, 0.500, 0.000], [0.000, 0.500, 0.500], [0.258, 0.000, 0.754], [0.265, 0.500, 0.255], [0.735, 0.500, 0.745], [0.742, 0.000, 0.246]]
}

=====

{
  "formula": "KAl3Hg",
  "functional": "PBE",
  "state": "relaxed",
  "sg": "No. 221",
  "e_above_lowest_polymorph_mev_per_atom": 890,
  "energy_ev_per_atom": -1.09,
  "vol_a3_per_atom": 43.90,
  "formation_energy_ev_per_atom": 1.431,
  "lattice": [[6.032, 0.000, 0.000], [0.000, 6.032, 0.000], [0.000, 0.000, 6.032]],
  "species": ["K", "Al", "Al", "Al", "Hg"],
  "fractional_positions": [[0.000, 0.000, 0.000], [0.000, 0.000, 0.500], [0.000, 0.500, 0.000], [0.500, 0.000, 0.000], [0.500, 0.500, 0.500]]
}

=====

{
  "formula": "Ce2AlGa4Pd3",
  "functional": "PBE",
  "state": "relaxed",
  "sg": "No. 115",
  "energy_ev_per_atom": -5.04,
  "vol_a3_per_atom": 19.29,
  "formation_energy_ev_per_atom": -0.710,
  "lattice": [[4.194, 0.000, 0.000], [0.000, 4.194, 0.000], [0.000, 0.000, 10.971]],
  "species": ["Ce", "Ce", "Al", "Ga", "Ga", "Ga", "Ga", "Pd", "Pd", "Pd"],
  "fractional_positions": [[0.000, 0.500, 0.245], [0.500, 0.000, 0.755], [0.000, 0.000, 0.500], [0.000, 0.000, 0.000], [0.000, 0.500, 0.639], [0.500, 0.000, 0.361], [0.500, 0.500, 0.000], [0.000, 0.500, 0.866], [0.500, 0.000, 0.134], [0.500, 0.500, 0.500]]
}

=====

{
  "formula": "La4DySe5",
  "functional": "PBE",
  "state": "relaxed",
  "sg": "No. 87",
  "e_above_lowest_polymorph_mev_per_atom": 0,
  "energy_ev_per_atom": -6.12,
  "e_form_raw_ev_per_atom": -1.943,
  "vol_a3_per_atom": 27.47,
  "lattice": [[-4.766, 4.766, 3.024], [4.766, -4.766, 3.024], [4.766, 4.766, -3.024]],
  "species": ["La", "La", "La", "La", "Dy", "Se", "Se", "Se", "Se", "Se"],
  "fractional_positions": [[0.096, 0.303, 0.399], [0.303, 0.904, 0.206], [0.697, 0.096, 0.794], [0.904, 0.697, 0.601], [0.500, 0.500, 0.000], [0.000, 0.000, 0.000], [0.211, 0.599, 0.810], [0.401, 0.211, 0.612], [0.599, 0.789, 0.388], [0.789, 0.401, 0.190]]
}

=====

{
  "formula": "Ni3MoPd",
  "functional": "PBE",
  "state": "relaxed",
  "sg": "No. 5",
  "e_above_lowest_polymorph_mev_per_atom": 109,
  "energy_ev_per_atom": -6.49,
  "vol_a3_per_atom": 13.85,
  "formation_energy_ev_per_atom": 0.184,
  "lattice": [[6.394, -2.477, 0.000], [6.394, 2.477, 0.000], [-0.647, 0.000, 4.372]],
  "species": ["Ni", "Ni", "Ni", "Ni", "Ni", "Ni", "Mo", "Mo", "Pd", "Pd"],
  "fractional_positions": [[0.172, 0.172, 0.290], [0.336, 0.321, 0.690], [0.583, 0.069, 0.200], [0.679, 0.664, 0.310], [0.828, 0.828, 0.710], [0.931, 0.417, 0.800], [0.109, 0.577, 0.189], [0.423, 0.891, 0.811], [0.003, 0.997, 0.500], [0.652, 0.348, 0.000]]
}

=====

{
  "formula": "SmMg9Cd2",
  "functional": "PBE",
  "state": "relaxed",
  "sg": "No. 141",
  "energy_ev_per_atom": -1.81,
  "vol_a3_per_atom": 23.56,
  "formation_energy_ev_per_atom": -0.072,
  "lattice": [[-6.050, 6.050, 3.862], [6.050, -6.050, 3.862], [6.050, 6.050, -3.862]],
  "species": ["Sm", "Sm", "Mg", "Mg", "Mg", "Mg", "Mg", "Mg", "Mg", "Mg", "Mg", "Mg", "Mg", "Mg", "Mg", "Mg", "Mg", "Mg", "Mg", "Mg", "Cd", "Cd", "Cd", "Cd"],
  "fractional_positions": [[0.375, 0.625, 0.750], [0.625, 0.375, 0.250], [0.125, 0.875, 0.250], [0.128, 0.555, 0.330], [0.128, 0.798, 0.573], [0.202, 0.275, 0.330], [0.202, 0.872, 0.927], [0.275, 0.202, 0.830], [0.275, 0.445, 0.073], [0.445, 0.275, 0.573], [0.445, 0.872, 0.170], [0.555, 0.128, 0.830], [0.555, 0.725, 0.427], [0.725, 0.555, 0.927], [0.725, 0.798, 0.170], [0.798, 0.128, 0.073], [0.798, 0.725, 0.670], [0.872, 0.202, 0.427], [0.872, 0.445, 0.670], [0.875, 0.125, 0.750], [0.000, 0.000, 0.000], [0.000, 0.000, 0.500], [0.000, 0.500, 0.000], [0.500, 0.000, 0.500]]
}

=====

{
  "formula": "MgMoCl",
  "functional": "PBE",
  "state": "relaxed",
  "sg": "No. 216",
  "e_above_lowest_polymorph_mev_per_atom": 918,
  "energy_ev_per_atom": -3.80,
  "e_form_raw_ev_per_atom": 0.953,
  "vol_a3_per_atom": 26.28,
  "lattice": [[0.000, 3.403, 3.403], [3.403, 0.000, 3.403], [3.403, 3.403, 0.000]],
  "species": ["Mg", "Mo", "Cl"],
  "fractional_positions": [[0.000, 0.000, 0.000], [0.750, 0.750, 0.750], [0.500, 0.500, 0.500]]
}

=====

{
  "formula": "PuZrAgPb",
  "functional": "PBE",
  "state": "relaxed",
  "sg": "No. 216",
  "energy_ev_per_atom": -7.35,
  "vol_a3_per_atom": 24.60,
  "formation_energy_ev_per_atom": 0.014,
  "lattice": [[0.000, 3.664, 3.664], [3.664, 0.000, 3.664], [3.664, 3.664, 0.000]],
  "species": ["Pu", "Zr", "Ag", "Pb"],
  "fractional_positions": [[0.000, 0.000, 0.000], [0.500, 0.500, 0.500], [0.750, 0.750, 0.750], [0.250, 0.250, 0.250]]
}

=====

{
  "formula": "SrCl3",
  "functional": "PBE",
  "state": "relaxed",
  "sg": "No. 25",
  "energy_ev_per_atom": -3.31,
  "e_form_raw_ev_per_atom": -1.509,
  "vol_a3_per_atom": 24.66,
  "lattice": [[4.276, 0.000, 0.000], [0.000, 5.396, 0.000], [0.000, 0.000, 4.276]],
  "species": ["Sr", "Cl", "Cl", "Cl"],
  "fractional_positions": [[0.000, 0.000, 0.000], [0.000, 0.500, 0.501], [0.500, 0.000, 0.500], [0.500, 0.500, 0.001]]
}